Record 1
Computed, not measured: a PBEsol-optimized structure of TeO2 at the meta-GGA SCAN level of DFT.

Cell: 4.245 4.938 8.504 Å, 90.00 90.00 90.00°
Element x y z (fractional)
Te 0.855 0.474 0.899
Te 0.355 0.026 0.101
Te 0.645 0.526 0.399
Te 0.145 0.974 0.601
O 0.815 0.273 0.713
O 0.315 0.227 0.287
O 0.685 0.727 0.213
O 0.185 0.773 0.787
O 0.278 0.358 0.959
O 0.778 0.142 0.041
O 0.222 0.642 0.459
O 0.722 0.858 0.541

Output
Volume   14.9 Å³/atom
Space group   P2_12_12_1 (19)
Crystal system   orthorhombic
N(E_F)   0.00 states/eV/cell
Formation energy from raw total energies   -1089.2 meV per atom

***

Record 2
Computed, not measured: a PBEsol-optimized structure of TeO3 at the meta-GGA SCAN level of DFT.

Cell: 4.853 5.171 8.376 Å, 90.00 90.00 90.00°
Element x y z (fractional)
Te 0.500 0.250 0.408
Te 0.000 0.250 0.092
Te 0.500 0.750 0.592
Te 0.000 0.750 0.908
O 0.750 0.110 0.250
O 0.786 0.065 0.926
O 0.714 0.065 0.574
O 0.214 0.935 0.074
O 0.286 0.935 0.426
O 0.250 0.890 0.750
O 0.750 0.610 0.750
O 0.714 0.565 0.426
O 0.786 0.565 0.074
O 0.286 0.435 0.574
O 0.214 0.435 0.926
O 0.250 0.390 0.250

Output
Volume   13.1 Å³/atom
Space group   Pnna (52)
Crystal system   orthorhombic
N(E_F)   0.00 states/eV/cell
Formation energy from raw total energies   -908.7 meV per atom

***

Record 3
Computed, not measured: a PBEsol-optimized structure of TeO3 at the meta-GGA SCAN level of DFT.

Cell: 5.034 5.222 7.283 Å, 90.00 90.00 90.00°
Element x y z (fractional)
Te 0.000 0.000 0.500
Te 0.500 0.500 0.500
Te 0.500 0.500 0.000
Te 0.000 0.000 0.000
O 0.372 0.526 0.250
O 0.872 0.974 0.750
O 0.128 0.026 0.250
O 0.628 0.474 0.750
O 0.182 0.312 0.937
O 0.682 0.188 0.063
O 0.318 0.812 0.563
O 0.818 0.688 0.437
O 0.182 0.312 0.563
O 0.682 0.188 0.437
O 0.818 0.688 0.063
O 0.318 0.812 0.937

Output
Volume   12.0 Å³/atom
Space group   Pnma (62)
Crystal system   orthorhombic
N(E_F)   0.00 states/eV/cell
Formation energy from raw total energies   -933.2 meV per atom

***

Record 4
Computed, not measured: a PBEsol-optimized structure of TeO2 at the meta-GGA SCAN level of DFT.

Cell: 4.817 4.817 7.444 Å, 90.00 90.00 90.00°
Element x y z (fractional)
Te 0.518 0.518 0.000
Te 0.482 0.482 0.500
Te 0.982 0.018 0.250
Te 0.018 0.982 0.750
O 0.642 0.750 0.194
O 0.358 0.250 0.694
O 0.750 0.142 0.444
O 0.250 0.858 0.944
O 0.858 0.250 0.056
O 0.142 0.750 0.556
O 0.750 0.642 0.806
O 0.250 0.358 0.306

Output
Volume   14.4 Å³/atom
Space group   P4_12_12 (92)
Crystal system   tetragonal
N(E_F)   0.00 states/eV/cell
Formation energy from raw total energies   -1092.1 meV per atom

***

Record 5
Computed, not measured: a PBEsol-optimized structure of TeO2 at the meta-GGA SCAN level of DFT.

Cell: 5.790 6.985 7.586 Å, 105.54 92.83 112.86°
Element x y z (fractional)
O 0.017 0.850 0.881
O 0.983 0.150 0.119
O 0.726 0.418 0.545
O 0.274 0.582 0.455
O 0.397 0.018 0.641
O 0.603 0.982 0.359
O 0.526 0.807 0.836
O 0.474 0.193 0.164
O 0.921 0.176 0.731
O 0.079 0.824 0.269
O 0.255 0.513 0.068
O 0.745 0.487 0.932
Te 0.251 0.183 0.960
Te 0.749 0.817 0.040
Te 0.974 0.480 0.754
Te 0.026 0.520 0.246
Te 0.613 0.866 0.589
Te 0.387 0.134 0.411

Output
Volume   14.9 Å³/atom
Space group   P-1 (2)
Crystal system   triclinic
N(E_F)   0.00 states/eV/cell
Formation energy from raw total energies   -1067.1 meV per atom

***

Record 6
Computed, not measured: a PBEsol-optimized structure of TeO2 at the meta-GGA SCAN level of DFT.

Cell: 3.843 5.364 8.102 Å, 90.00 90.00 90.00°
Element x y z (fractional)
Te 0.750 0.248 0.072
Te 0.250 0.252 0.572
Te 0.250 0.752 0.928
Te 0.750 0.748 0.428
O 0.750 0.379 0.505
O 0.250 0.121 0.005
O 0.250 0.621 0.495
O 0.750 0.879 0.995
O 0.750 0.429 0.873
O 0.250 0.071 0.373
O 0.250 0.571 0.127
O 0.750 0.929 0.627

Output
Volume   13.9 Å³/atom
Space group   Pnma (62)
Crystal system   orthorhombic
N(E_F)   0.00 states/eV/cell
Formation energy from raw total energies   -1016.8 meV per atom

***

Record 7
Computed, not measured: a PBEsol-optimized structure of ThTe2O6 at the meta-GGA SCAN level of DFT.

Cell: 7.161 7.288 11.228 Å, 90.00 90.00 107.52°
Element x y z (fractional)
Th 0.740 0.993 0.091
Th 0.760 0.507 0.591
Th 0.260 0.007 0.909
Th 0.240 0.493 0.409
Te 0.755 0.551 0.274
Te 0.745 0.949 0.774
Te 0.245 0.449 0.726
Te 0.255 0.051 0.226
Te 0.734 0.472 0.924
Te 0.766 0.028 0.424
Te 0.266 0.528 0.076
Te 0.234 0.972 0.576
O 0.857 0.820 0.248
O 0.643 0.680 0.748
O 0.143 0.180 0.752
O 0.357 0.320 0.252
O 0.589 0.580 0.402
O 0.911 0.920 0.902
O 0.411 0.420 0.598
O 0.089 0.080 0.098
O 0.927 0.531 0.400
O 0.573 0.969 0.900
O 0.073 0.469 0.600
O 0.427 0.031 0.100
O 0.820 0.307 0.028
O 0.680 0.193 0.528
O 0.180 0.693 0.972
O 0.320 0.807 0.472
O 0.462 0.332 0.906
O 0.038 0.168 0.406
O 0.538 0.668 0.094
O 0.962 0.832 0.594
O 0.817 0.382 0.780
O 0.683 0.118 0.280
O 0.183 0.618 0.220
O 0.317 0.882 0.720

Output
Volume   15.5 Å³/atom
Space group   P2_1/c (14)
Crystal system   monoclinic
N(E_F)   0.00 states/eV/cell
Formation energy from raw total energies   -2146.9 meV per atom

***

Record 8
Computed, not measured: a PBEsol-optimized structure of TiTl2Te3O12 at the meta-GGA SCAN level of DFT.

Cell: 7.162 7.162 7.164 Å, 60.31 60.31 60.33°
Element x y z (fractional)
Ti 0.494 0.506 0.000
Tl 0.100 0.181 0.635
Tl 0.819 0.900 0.365
Te 0.500 0.001 0.001
Te 0.999 0.500 0.999
Te 0.499 0.501 0.500
O 0.437 0.819 0.935
O 0.826 0.428 0.325
O 0.820 0.431 0.933
O 0.432 0.827 0.327
O 0.826 0.826 0.930
O 0.436 0.431 0.320
O 0.569 0.180 0.067
O 0.173 0.568 0.673
O 0.181 0.563 0.065
O 0.572 0.174 0.675
O 0.174 0.174 0.070
O 0.569 0.564 0.680

Output
Volume   14.5 Å³/atom
Space group   C2 (5)
Crystal system   monoclinic
N(E_F)   0.00 states/eV/cell
Formation energy from raw total energies   -1449.4 meV per atom

***

Record 9
Computed, not measured: a PBEsol-optimized structure of Tl6TeO12 at the meta-GGA SCAN level of DFT.

Cell: 6.440 6.440 6.440 Å, 97.88 97.88 97.88°
Element x y z (fractional)
O 0.930 0.032 0.702
O 0.032 0.702 0.930
O 0.702 0.930 0.032
O 0.070 0.968 0.298
O 0.968 0.298 0.070
O 0.298 0.070 0.968
O 0.175 0.424 0.601
O 0.424 0.601 0.175
O 0.601 0.175 0.424
O 0.825 0.576 0.399
O 0.576 0.399 0.825
O 0.399 0.825 0.576
Te 0.000 0.000 0.000
Tl 0.391 0.695 0.864
Tl 0.695 0.864 0.391
Tl 0.864 0.391 0.695
Tl 0.609 0.305 0.136
Tl 0.305 0.136 0.609
Tl 0.136 0.609 0.305

Output
Volume   13.6 Å³/atom
Space group   R-3 (148)
Crystal system   trigonal
N(E_F)   13.53 states/eV/cell
Formation energy from raw total energies   -840.9 meV per atom

***

Record 10
Computed, not measured: a PBEsol-optimized structure of TlTe3O at the meta-GGA SCAN level of DFT.

Cell: 4.909 4.909 4.909 Å, 90.00 90.00 90.00°
Element x y z (fractional)
Tl 0.500 0.500 0.500
Te 0.000 0.500 0.000
Te 0.000 0.000 0.500
Te 0.500 0.000 0.000
O 0.000 0.000 0.000

Output
Volume   23.7 Å³/atom
Space group   Pm-3m (221)
Crystal system   cubic
N(E_F)   1.88 states/eV/cell
Formation energy from raw total energies   70.4 meV per atom

***

Record 11
Computed, not measured: a PBEsol-optimized structure of Tl2TeO3 at the meta-GGA SCAN level of DFT.

Cell: 5.167 10.803 16.472 Å, 90.00 90.00 90.00°
Element x y z (fractional)
Tl 0.246 0.628 0.417
Tl 0.246 0.372 0.583
Tl 0.754 0.628 0.583
Tl 0.754 0.372 0.417
Tl 0.754 0.872 0.083
Tl 0.754 0.128 0.917
Tl 0.246 0.872 0.917
Tl 0.246 0.128 0.083
Tl 0.762 0.614 0.255
Tl 0.762 0.386 0.745
Tl 0.238 0.614 0.745
Tl 0.238 0.386 0.255
Tl 0.238 0.886 0.245
Tl 0.238 0.114 0.755
Tl 0.762 0.886 0.755
Tl 0.762 0.114 0.245
Te 0.242 0.631 0.083
Te 0.242 0.369 0.917
Te 0.758 0.631 0.917
Te 0.758 0.369 0.083
Te 0.758 0.869 0.417
Te 0.758 0.131 0.583
Te 0.242 0.869 0.583
Te 0.242 0.131 0.417
O 0.725 0.697 0.439
O 0.725 0.303 0.561
O 0.275 0.697 0.561
O 0.275 0.303 0.439
O 0.275 0.803 0.061
O 0.275 0.197 0.939
O 0.725 0.803 0.939
O 0.725 0.197 0.061
O 0.693 0.860 0.304
O 0.693 0.140 0.696
O 0.307 0.860 0.696
O 0.307 0.140 0.304
O 0.307 0.640 0.196
O 0.307 0.360 0.804
O 0.693 0.640 0.804
O 0.693 0.360 0.196
O 0.127 0.869 0.412
O 0.127 0.131 0.588
O 0.873 0.869 0.588
O 0.873 0.131 0.412
O 0.873 0.631 0.088
O 0.873 0.369 0.912
O 0.127 0.631 0.912
O 0.127 0.369 0.088

Output
Volume   19.2 Å³/atom
Space group   Pban (50)
Crystal system   orthorhombic
N(E_F)   0.00 states/eV/cell
Formation energy from raw total energies   -988.7 meV per atom

***

Record 12
Computed, not measured: a PBEsol-optimized structure of Tl2Te3O7 at the meta-GGA SCAN level of DFT.

Cell: 6.792 7.354 9.850 Å, 92.41 110.14 111.79°
Element x y z (fractional)
O 0.239 0.164 0.042
O 0.761 0.836 0.958
O 0.686 0.476 0.127
O 0.314 0.524 0.873
O 0.552 0.451 0.694
O 0.448 0.549 0.306
O 0.899 0.768 0.370
O 0.101 0.232 0.630
O 0.822 0.852 0.676
O 0.178 0.148 0.324
O 0.667 0.106 0.121
O 0.333 0.894 0.879
O 0.933 0.528 0.623
O 0.067 0.472 0.377
Te 0.481 0.213 0.979
Te 0.519 0.787 0.021
Te 0.866 0.648 0.771
Te 0.134 0.352 0.229
Te 0.742 0.491 0.338
Te 0.258 0.509 0.662
Tl 0.124 0.848 0.172
Tl 0.876 0.152 0.828
Tl 0.699 0.964 0.432
Tl 0.301 0.036 0.568

Output
Volume   17.5 Å³/atom
Space group   P-1 (2)
Crystal system   triclinic
N(E_F)   0.00 states/eV/cell
Formation energy from raw total energies   -1057.5 meV per atom

***

Question: Which of these has the highest N(E_F)?
Answer: Tl6TeO12